(1)
Entry from Alexandria via LeMat-Bulk: a geometry-optimized La2SnIrC structure (PBE). Values from VASP.

Cell and atoms, written as Quantum ESPRESSO input:
```
&SYSTEM
  ibrav = 0, nat = 5, ntyp = 4
/
ATOMIC_SPECIES
La 138.91 La.upf
Sn 118.71 Sn.upf
Ir 192.22 Ir.upf
C 12.01 C.upf
ATOMIC_POSITIONS angstrom
La 0.000 2.760 0.000
La 2.760 0.000 0.000
Sn 0.000 0.000 1.950
Ir 2.760 2.760 1.950
C 2.760 2.760 0.000
CELL_PARAMETERS angstrom
5.520 0.000 0.000
0.000 5.520 0.000
0.000 0.000 3.900
```

Computed properties:
ΔE_f ... -0.513 eV/atom
M_tot ... 0.00 μB/cell
Calculated volume ... 119 Å³/cell


(2)
Entry from Alexandria via LeMat-Bulk: a geometry-optimized Na2TaSnO6 structure (PBE). Values from VASP.

Cell and atoms, written as Quantum ESPRESSO input:
```
&SYSTEM
  ibrav = 0, nat = 20, ntyp = 4
/
ATOMIC_SPECIES
Na 22.99 Na.upf
Ta 180.95 Ta.upf
Sn 118.71 Sn.upf
O 16.00 O.upf
ATOMIC_POSITIONS angstrom
Na -0.022 0.113 1.995
Na -2.823 2.723 5.984
Na 2.825 2.948 1.994
Na 0.025 5.558 5.982
Ta -2.801 0.000 3.989
Ta 0.000 2.835 0.000
Sn 2.802 0.000 0.000
Sn 0.001 2.835 3.989
O -4.423 1.253 7.709
O -1.623 1.583 3.721
O -4.036 4.033 7.720
O -1.235 4.473 3.732
O -2.438 0.076 5.943
O 0.363 2.760 1.955
O -0.360 2.911 6.023
O 2.441 5.595 2.034
O 1.237 1.198 4.246
O 4.038 1.638 0.257
O 1.625 4.088 4.257
O 4.426 4.418 0.268
CELL_PARAMETERS angstrom
5.604 0.000 0.000
0.000 5.671 0.000
-5.602 0.000 7.977
```

Computed properties:
M_tot ... 2.03 μB/cell
Formation energy from raw total energies ... -1.98 eV per atom
Calculated volume ... 254 Å³/cell


(3)
Entry from Alexandria via LeMat-Bulk: a geometry-optimized CaPm4Y15 structure (PBE). Values from VASP.

Cell and atoms, written as Quantum ESPRESSO input:
```
&SYSTEM
  ibrav = 0, nat = 20, ntyp = 3
/
ATOMIC_SPECIES
Ca 40.08 Ca.upf
Pm 145.00 Pm.upf
Y 88.91 Y.upf
ATOMIC_POSITIONS angstrom
Ca 0.000 0.000 0.000
Pm 0.000 0.000 5.134
Pm 0.000 0.000 10.206
Pm 0.000 0.000 15.273
Pm 0.000 0.000 20.345
Y 0.000 2.550 2.651
Y 0.000 2.550 7.682
Y 0.000 2.550 12.740
Y 0.000 2.550 17.798
Y 0.000 2.550 22.829
Y 2.550 0.000 2.651
Y 2.550 0.000 7.682
Y 2.550 0.000 12.740
Y 2.550 0.000 17.798
Y 2.550 0.000 22.829
Y 2.550 2.550 0.000
Y 2.550 2.550 5.117
Y 2.550 2.550 10.203
Y 2.550 2.550 15.277
Y 2.550 2.550 20.362
CELL_PARAMETERS angstrom
5.099 0.000 0.000
0.000 5.099 0.000
0.000 0.000 25.479
```

Computed properties:
ΔE_f ... 0.039 eV/atom
M_tot ... 0.00 μB/cell
Calculated volume ... 662 Å³/cell


(4)
Entry from Alexandria via LeMat-Bulk: a geometry-optimized MgCd2Ag structure (PBE). Values from VASP.

Cell and atoms, written as Quantum ESPRESSO input:
```
&SYSTEM
  ibrav = 0, nat = 4, ntyp = 3
/
ATOMIC_SPECIES
Mg 24.30 Mg.upf
Cd 112.41 Cd.upf
Ag 107.87 Ag.upf
ATOMIC_POSITIONS angstrom
Mg 0.000 0.000 0.000
Cd 0.746 2.270 4.357
Cd 1.449 2.270 1.480
Ag -0.443 0.000 2.919
CELL_PARAMETERS angstrom
3.082 0.000 0.000
0.000 4.540 0.000
-0.886 0.000 5.837
```

Computed properties:
ΔE_f ... -0.068 eV/atom
M_tot ... 0.00 μB/cell
Calculated volume ... 82 Å³/cell
E above lowest polymorph ... 0.15 eV per formula unit


(5)
Entry from Alexandria via LeMat-Bulk: a geometry-optimized CsGe2BiRh structure (PBE). Values from VASP.

Cell and atoms, written as Quantum ESPRESSO input:
```
&SYSTEM
  ibrav = 0, nat = 5, ntyp = 4
/
ATOMIC_SPECIES
Cs 132.91 Cs.upf
Ge 72.64 Ge.upf
Bi 208.98 Bi.upf
Rh 102.91 Rh.upf
ATOMIC_POSITIONS angstrom
Cs 0.000 0.000 0.000
Ge 0.000 2.860 0.000
Ge 2.860 0.000 0.000
Bi 2.860 2.860 2.495
Rh 0.000 0.000 2.495
CELL_PARAMETERS angstrom
5.719 0.000 0.000
0.000 5.719 0.000
0.000 0.000 4.989
```

Computed properties:
ΔE_f ... 1.683 eV/atom
M_tot ... 0.00 μB/cell
Calculated volume ... 163 Å³/cell


(6)
Entry from Alexandria via LeMat-Bulk: a geometry-optimized Bi7O5F11 structure (PBE). Values from VASP.

Cell and atoms, written as Quantum ESPRESSO input:
```
&SYSTEM
  ibrav = 0, nat = 23, ntyp = 3
/
ATOMIC_SPECIES
Bi 208.98 Bi.upf
O 16.00 O.upf
F 19.00 F.upf
ATOMIC_POSITIONS angstrom
Bi 0.000 0.000 0.000
Bi 1.321 -0.108 3.907
Bi 3.331 -0.550 7.960
Bi 5.580 -0.608 2.655
Bi 7.019 -0.608 6.583
Bi 9.267 -0.550 1.279
Bi 11.277 -0.108 5.332
O 5.269 -1.316 0.488
O 5.227 -1.840 7.167
O 6.299 -1.733 4.619
O 7.330 -1.316 8.750
O 7.372 -1.840 2.071
F 4.363 1.447 0.151
F 1.328 0.211 6.370
F 3.149 0.236 2.293
F 5.213 0.931 7.225
F 6.299 1.148 4.619
F 7.385 0.931 2.014
F 8.236 1.447 9.088
F 3.658 -0.895 4.943
F 9.449 0.236 6.946
F 11.270 0.211 2.869
F 8.941 -0.895 4.295
CELL_PARAMETERS angstrom
6.776 -2.832 0.000
6.776 2.832 0.000
-0.953 0.000 9.239
```

Computed properties:
M_tot ... 0.00 μB/cell
Formation energy from raw total energies ... -2.07 eV per atom
Calculated volume ... 355 Å³/cell


(7)
Entry from Alexandria via LeMat-Bulk: a geometry-optimized LuAl7Fe5 structure (PBE). Values from VASP.

Cell and atoms, written as Quantum ESPRESSO input:
```
&SYSTEM
  ibrav = 0, nat = 13, ntyp = 3
/
ATOMIC_SPECIES
Lu 174.97 Lu.upf
Al 26.98 Al.upf
Fe 55.84 Fe.upf
ATOMIC_POSITIONS angstrom
Lu 0.000 0.000 0.000
Al 2.502 1.788 -0.007
Al 2.502 -1.365 4.167
Al 0.000 0.000 2.860
Al 2.502 1.365 4.167
Al 0.000 0.000 5.623
Al 0.000 4.301 2.304
Al 0.000 2.513 4.283
Fe 2.502 0.000 1.959
Fe 1.237 2.155 2.084
Fe 1.265 -2.146 6.375
Fe 1.237 6.447 2.084
Fe 1.265 2.146 6.375
CELL_PARAMETERS angstrom
-2.502 4.301 4.291
2.502 -4.301 4.291
2.502 4.301 -4.291
```

Computed properties:
ΔE_f ... -0.397 eV/atom
M_tot ... 7.93 μB/cell
Calculated volume ... 185 Å³/cell


(8)
Entry from Alexandria via LeMat-Bulk: a geometry-optimized BaSCl2F structure (PBE). Values from VASP.

Cell and atoms, written as Quantum ESPRESSO input:
```
&SYSTEM
  ibrav = 0, nat = 5, ntyp = 4
/
ATOMIC_SPECIES
Ba 137.33 Ba.upf
S 32.06 S.upf
Cl 35.45 Cl.upf
F 19.00 F.upf
ATOMIC_POSITIONS angstrom
Ba 0.000 0.000 0.000
S 0.000 0.000 3.435
Cl 0.000 2.985 0.000
Cl 2.985 0.000 0.000
F 2.985 2.985 3.435
CELL_PARAMETERS angstrom
5.970 0.000 0.000
0.000 5.970 0.000
0.000 0.000 6.869
```

Computed properties:
M_tot ... 3.05 μB/cell
Formation energy from raw total energies ... -0.67 eV per atom
Calculated volume ... 245 Å³/cell
E above lowest polymorph ... 2.49 eV per formula unit


(9)
Entry from Alexandria via LeMat-Bulk: a geometry-optimized FeNi3B structure (PBE). Values from VASP.

Cell and atoms, written as Quantum ESPRESSO input:
```
&SYSTEM
  ibrav = 0, nat = 5, ntyp = 3
/
ATOMIC_SPECIES
Fe 55.84 Fe.upf
Ni 58.69 Ni.upf
B 10.81 B.upf
ATOMIC_POSITIONS angstrom
Fe 0.000 0.000 0.000
Ni 0.000 1.902 1.902
Ni 1.902 0.000 1.902
Ni 1.902 1.902 0.000
B 1.902 1.902 1.902
CELL_PARAMETERS angstrom
3.805 0.000 0.000
0.000 3.805 0.000
0.000 0.000 3.805
```

Computed properties:
ΔE_f ... 0.099 eV/atom
M_tot ... 3.34 μB/cell
Calculated volume ... 55 Å³/cell
E above lowest polymorph ... 0.86 eV per formula unit


(10)
Entry from Alexandria via LeMat-Bulk: a geometry-optimized ZrPbBr2 structure (PBE). Values from VASP.

Cell and atoms, written as Quantum ESPRESSO input:
```
&SYSTEM
  ibrav = 0, nat = 4, ntyp = 3
/
ATOMIC_SPECIES
Zr 91.22 Zr.upf
Pb 207.20 Pb.upf
Br 79.90 Br.upf
ATOMIC_POSITIONS angstrom
Zr 0.000 0.000 0.000
Pb 3.655 3.655 3.655
Br 1.827 1.827 1.827
Br 5.482 5.482 5.482
CELL_PARAMETERS angstrom
0.000 3.655 3.655
3.655 0.000 3.655
3.655 3.655 0.000
```

Computed properties:
M_tot ... 0.00 μB/cell
Formation energy from raw total energies ... -0.08 eV per atom
Calculated volume ... 98 Å³/cell
E above lowest polymorph ... 2.76 eV per formula unit


(11)
Entry from Alexandria via LeMat-Bulk: a geometry-optimized Zn4HgSe structure (PBE). Values from VASP.

Cell and atoms, written as Quantum ESPRESSO input:
```
&SYSTEM
  ibrav = 0, nat = 6, ntyp = 3
/
ATOMIC_SPECIES
Zn 65.41 Zn.upf
Hg 200.59 Hg.upf
Se 78.96 Se.upf
ATOMIC_POSITIONS angstrom
Zn 0.953 0.953 0.953
Zn 2.849 2.849 0.953
Zn 2.849 0.953 2.849
Zn 0.953 2.849 2.849
Hg 5.704 5.704 5.704
Se 3.803 3.803 3.803
CELL_PARAMETERS angstrom
0.000 3.803 3.803
3.803 0.000 3.803
3.803 3.803 0.000
```

Computed properties:
M_tot ... 0.00 μB/cell
Formation energy from raw total energies ... 0.16 eV per atom
Calculated volume ... 110 Å³/cell


(12)
Entry from Alexandria via LeMat-Bulk: a geometry-optimized ZnPtBr structure (PBE). Values from VASP.

Cell and atoms, written as Quantum ESPRESSO input:
```
&SYSTEM
  ibrav = 0, nat = 6, ntyp = 3
/
ATOMIC_SPECIES
Zn 65.41 Zn.upf
Pt 195.08 Pt.upf
Br 79.90 Br.upf
ATOMIC_POSITIONS angstrom
Zn 0.000 0.000 0.000
Zn 5.165 0.000 0.713
Pt 1.338 0.000 2.163
Pt 8.992 0.000 2.163
Br 3.408 0.000 5.232
Br 6.922 0.000 5.232
CELL_PARAMETERS angstrom
10.330 0.000 0.000
0.000 1.823 3.329
0.000 -1.823 3.329
```

Computed properties:
M_tot ... 0.00 μB/cell
Formation energy from raw total energies ... 0.00 eV per atom
Calculated volume ... 125 Å³/cell
E above lowest polymorph ... 0.00 eV per formula unit


(13)
Entry from Alexandria via LeMat-Bulk: a geometry-optimized Na3Mg2PaTe6 structure (PBE). Values from VASP.

Cell and atoms, written as Quantum ESPRESSO input:
```
&SYSTEM
  ibrav = 0, nat = 12, ntyp = 4
/
ATOMIC_SPECIES
Na 22.99 Na.upf
Mg 24.30 Mg.upf
Pa 231.04 Pa.upf
Te 127.60 Te.upf
ATOMIC_POSITIONS angstrom
Na 0.000 0.000 0.000
Na 3.739 2.133 0.000
Na 3.739 -2.133 0.000
Mg 2.492 4.310 3.784
Mg 2.492 -4.310 3.784
Pa 2.492 0.000 3.784
Te 1.241 2.170 2.081
Te -0.016 0.000 5.475
Te 1.241 -2.170 2.081
Te 3.743 2.170 5.487
Te 5.000 0.000 2.094
Te 3.743 -2.170 5.487
CELL_PARAMETERS angstrom
3.739 -6.475 0.000
3.739 6.475 0.000
-2.495 0.000 7.569
```

Computed properties:
M_tot ... 0.00 μB/cell
Formation energy from raw total energies ... -0.91 eV per atom
Calculated volume ... 367 Å³/cell


(14)
Entry from Alexandria via LeMat-Bulk: a geometry-optimized AlTlCu2 structure (PBE). Values from VASP.

Cell and atoms, written as Quantum ESPRESSO input:
```
&SYSTEM
  ibrav = 0, nat = 4, ntyp = 3
/
ATOMIC_SPECIES
Al 26.98 Al.upf
Tl 204.38 Tl.upf
Cu 63.55 Cu.upf
ATOMIC_POSITIONS angstrom
Al 0.000 0.000 0.000
Tl 0.000 0.000 3.731
Cu 2.101 0.000 1.866
Cu 0.000 2.101 1.866
CELL_PARAMETERS angstrom
-2.101 2.101 3.731
2.101 -2.101 3.731
2.101 2.101 -3.731
```

Computed properties:
ΔE_f ... 0.241 eV/atom
M_tot ... 0.00 μB/cell
Calculated volume ... 66 Å³/cell
E above lowest polymorph ... 0.54 eV per formula unit


(15)
Entry from Alexandria via LeMat-Bulk: a geometry-optimized Cs2TlGeBr6 structure (PBE). Values from VASP.

Cell and atoms, written as Quantum ESPRESSO input:
```
&SYSTEM
  ibrav = 0, nat = 10, ntyp = 4
/
ATOMIC_SPECIES
Cs 132.91 Cs.upf
Tl 204.38 Tl.upf
Ge 72.64 Ge.upf
Br 79.90 Br.upf
ATOMIC_POSITIONS angstrom
Cs 0.000 0.000 2.766
Cs 0.000 0.000 8.800
Tl 2.863 2.863 5.783
Ge 2.863 2.863 0.000
Br 0.000 2.863 0.000
Br 0.000 2.863 5.783
Br 2.863 0.000 0.000
Br 2.863 0.000 5.783
Br 2.863 2.863 2.744
Br 2.863 2.863 8.822
CELL_PARAMETERS angstrom
5.727 0.000 0.000
0.000 5.727 0.000
0.000 0.000 11.566
```

Computed properties:
M_tot ... 0.00 μB/cell
Formation energy from raw total energies ... -1.10 eV per atom
Calculated volume ... 379 Å³/cell
E above lowest polymorph ... 0.15 eV per formula unit


(16)
Entry from Alexandria via LeMat-Bulk: a geometry-optimized CuCl2 structure (PBE). Values from VASP.

Cell and atoms, written as Quantum ESPRESSO input:
```
&SYSTEM
  ibrav = 0, nat = 6, ntyp = 2
/
ATOMIC_SPECIES
Cu 63.55 Cu.upf
Cl 35.45 Cl.upf
ATOMIC_POSITIONS angstrom
Cu 1.027 1.027 1.027
Cu 7.191 7.191 7.191
Cl 4.109 2.055 2.055
Cl 2.055 4.109 2.055
Cl 2.055 2.055 4.109
Cl 4.109 4.109 4.109
CELL_PARAMETERS angstrom
0.000 4.109 4.109
4.109 0.000 4.109
4.109 4.109 0.000
```

Computed properties:
M_tot ... 1.87 μB/cell
Formation energy from raw total energies ... 0.91 eV per atom
Calculated volume ... 139 Å³/cell


(17)
Entry from Alexandria via LeMat-Bulk: a geometry-optimized PmNd6Th structure (PBE). Values from VASP.

Cell and atoms, written as Quantum ESPRESSO input:
```
&SYSTEM
  ibrav = 0, nat = 8, ntyp = 3
/
ATOMIC_SPECIES
Pm 145.00 Pm.upf
Nd 144.24 Nd.upf
Th 232.04 Th.upf
ATOMIC_POSITIONS angstrom
Pm 0.000 0.000 0.000
Nd 2.134 2.989 4.997
Nd 4.532 2.989 1.682
Nd 3.119 0.000 1.715
Nd 3.547 0.000 4.963
Nd 2.134 -2.989 4.997
Nd 4.532 -2.989 1.682
Th -0.080 0.000 3.339
CELL_PARAMETERS angstrom
3.413 -6.056 0.000
3.413 6.056 0.000
-0.160 0.000 6.679
```

Computed properties:
ΔE_f ... 0.189 eV/atom
M_tot ... 0.00 μB/cell
Calculated volume ... 276 Å³/cell
E above lowest polymorph ... 1.24 eV per formula unit


(18)
Entry from Alexandria via LeMat-Bulk: a geometry-optimized YAl2Ni structure (PBE). Values from VASP.

Cell and atoms, written as Quantum ESPRESSO input:
```
&SYSTEM
  ibrav = 0, nat = 4, ntyp = 3
/
ATOMIC_SPECIES
Y 88.91 Y.upf
Al 26.98 Al.upf
Ni 58.69 Ni.upf
ATOMIC_POSITIONS angstrom
Y 0.000 0.000 0.000
Al 3.220 0.003 0.000
Al 1.613 -1.636 1.637
Ni 1.613 1.634 1.637
CELL_PARAMETERS angstrom
3.220 -3.278 0.000
3.220 3.278 0.000
-3.215 0.000 3.274
```

Computed properties:
ΔE_f ... -0.344 eV/atom
M_tot ... 0.00 μB/cell
Calculated volume ... 69 Å³/cell


(19)
Entry from Alexandria via LeMat-Bulk: a geometry-optimized LaCd2SiPd structure (PBE). Values from VASP.

Cell and atoms, written as Quantum ESPRESSO input:
```
&SYSTEM
  ibrav = 0, nat = 5, ntyp = 4
/
ATOMIC_SPECIES
La 138.91 La.upf
Cd 112.41 Cd.upf
Si 28.09 Si.upf
Pd 106.42 Pd.upf
ATOMIC_POSITIONS angstrom
La 0.000 0.000 0.000
Cd 0.000 2.559 2.334
Cd 2.559 0.000 2.334
Si 2.559 2.559 2.334
Pd 2.559 2.559 0.000
CELL_PARAMETERS angstrom
5.118 0.000 0.000
0.000 5.118 0.000
0.000 0.000 4.669
```

Computed properties:
M_tot ... 0.00 μB/cell
Formation energy from raw total energies ... -0.11 eV per atom
Calculated volume ... 122 Å³/cell


(20)
Entry from Alexandria via LeMat-Bulk: a geometry-optimized Ac2PrBi3 structure (PBE). Values from VASP.

Cell and atoms, written as Quantum ESPRESSO input:
```
&SYSTEM
  ibrav = 0, nat = 12, ntyp = 3
/
ATOMIC_SPECIES
Ac 227.00 Ac.upf
Pr 140.91 Pr.upf
Bi 208.98 Bi.upf
ATOMIC_POSITIONS angstrom
Ac 0.000 2.757 2.031
Ac 0.000 2.757 9.919
Ac 2.387 1.378 13.981
Ac 2.387 1.378 21.869
Pr 0.000 0.000 5.975
Pr 0.000 0.000 17.925
Bi 0.000 0.000 0.000
Bi 0.000 0.000 11.950
Bi 0.000 2.757 16.008
Bi 0.000 2.757 19.842
Bi 2.387 1.378 4.058
Bi 2.387 1.378 7.892
CELL_PARAMETERS angstrom
4.775 0.000 0.000
-2.387 4.135 0.000
0.000 0.000 23.900
```

Computed properties:
ΔE_f ... -0.939 eV/atom
M_tot ... 0.00 μB/cell
Calculated volume ... 472 Å³/cell
E above lowest polymorph ... 0.23 eV per formula unit